Entry 1:
YThGeSe, relaxed, DFT GGA-PBE; energy relative to the elements, uncorrected = -5.3 eV per formula unit; E_tot = -81.7 eV per cell; volume = 26.344 Å³ per atom
1.0
4.229 0.000 0.000
-2.115 3.663 0.000
0.000 0.000 20.406
Y Th Ge Se
3 3 3 3
direct
0.000 0.000 0.000
0.333 0.667 0.667
0.667 0.333 0.333
0.000 0.000 0.508
0.333 0.667 0.174
0.667 0.333 0.841
0.000 0.000 0.256
0.333 0.667 0.923
0.667 0.333 0.589
0.000 0.000 0.751
0.333 0.667 0.418
0.667 0.333 0.084

Entry 2:
Ba2LiAl, relaxed, DFT GGA-PBE; E_tot = -9.3 eV per cell; volume = 38.175 Å³ per atom; ΔE_f = 1.060 kcal/mol of atoms
1.0
4.027 0.000 0.000
0.000 4.027 0.000
0.000 0.000 9.415
Ba Li Al
2 1 1
direct
0.000 0.000 0.000
0.500 0.500 0.392
0.000 0.000 0.649
0.500 0.500 0.763

Entry 3:
LaCdSe, relaxed, DFT GGA-PBE; energy relative to the elements, uncorrected = -2.7 eV per formula unit; E_tot = -24.2 eV per cell; volume = 30.983 Å³ per atom; polymorph energy (0 for the lowest one) = 0.282 eV/atom
1.0
3.870 0.000 0.000
0.000 3.870 0.000
0.000 0.000 12.414
La Cd Se
2 2 2
direct
0.000 0.000 0.000
0.500 0.500 0.500
0.000 0.000 0.310
0.500 0.500 0.810
0.000 0.000 0.596
0.500 0.500 0.096

Entry 4:
HfSe, relaxed, DFT GGA-PBE; energy relative to the elements, uncorrected = -1.8 eV per formula unit; E_tot = -122.2 eV per cell; volume = 24.038 Å³ per atom
1.0
10.297 0.000 0.000
0.000 10.297 0.000
0.000 0.000 3.627
Hf Se
8 8
direct
0.110 0.352 0.000
0.148 0.610 0.500
0.352 0.890 0.000
0.390 0.148 0.500
0.610 0.852 0.500
0.648 0.110 0.000
0.852 0.390 0.500
0.890 0.648 0.000
0.103 0.795 0.000
0.205 0.103 0.000
0.295 0.397 0.500
0.397 0.705 0.500
0.603 0.295 0.500
0.705 0.603 0.500
0.795 0.897 0.000
0.897 0.205 0.000